AlPbSe2N | GGA-PBE | relaxed

* formation energy without anion corrections: 4 kJ/mol of formula units
* calculated volume: 112.01 Å³/cell
* excess energy over the best structure of this formula in the dataset: 0.0 kJ per mole of atoms
* Fermi-level density of states: 2.5 states/eV/cell

a b c (Å): 5.409 5.409 3.829
angles (deg): 90.00 90.00 90.00
Last column: magnetic moment on the atom in μB.
Sites, in units of the cell vectors:
Pb 0.500 0.500 0.500  0.00
Al 0.000 0.000 0.000  -0.02
Se 0.000 0.500 0.000  0.21
Se 0.500 0.000 0.000  0.21
N 0.000 0.000 0.500  0.87